No. 1
Here is crystalline CeDy12Ho5 at its relaxed geometry from Alexandria via LeMat-Bulk. Energies are from GGA-PBE.

a = 10.610 Å, b = 10.610 Å, c = 5.003 Å
α = 90.00°, β = 90.00°, γ = 90.04°
Element x y z (fractional)
Ce1 0.000 0.000 0.000
Dy1 0.000 0.333 0.000
Dy2 0.000 0.667 0.000
Dy3 0.165 0.165 0.500
Dy4 0.168 0.500 0.500
Dy5 0.333 0.000 0.000
Dy6 0.333 0.333 0.000
Dy7 0.500 0.168 0.500
Dy8 0.500 0.832 0.500
Dy9 0.667 0.000 0.000
Dy10 0.667 0.667 0.000
Dy11 0.832 0.500 0.500
Dy12 0.835 0.835 0.500
Ho1 0.166 0.834 0.500
Ho2 0.333 0.667 0.000
Ho3 0.500 0.500 0.500
Ho4 0.667 0.333 0.000
Ho5 0.834 0.166 0.500

Values from the calculation:
- calculated volume (Å³ per cell) = 563.22
- crystal system = orthorhombic
- energy of formation (eV per atom) = 0.030

No. 2
Here is crystalline CeDy4Ho2 at its relaxed geometry from Alexandria via LeMat-Bulk. Energies are from GGA-PBE.

a = 6.114 Å, b = 12.829 Å, c = 5.892 Å
α = 90.00°, β = 90.00°, γ = 90.00°
Element x y z (fractional)
Ce1 0.000 0.000 0.000
Ce2 0.500 0.500 0.000
Dy1 0.000 0.138 0.500
Dy2 0.000 0.299 0.000
Dy3 0.000 0.701 0.000
Dy4 0.000 0.862 0.500
Dy5 0.500 0.201 0.000
Dy6 0.500 0.362 0.500
Dy7 0.500 0.638 0.500
Dy8 0.500 0.799 0.000
Ho1 0.000 0.389 0.500
Ho2 0.000 0.611 0.500
Ho3 0.500 0.111 0.500
Ho4 0.500 0.889 0.500

Values from the calculation:
- calculated volume (Å³ per cell) = 462.17
- crystal system = orthorhombic
- energy of formation (eV per atom) = 0.548

No. 3
Here is crystalline CeDy7Ho12 at its relaxed geometry from Alexandria via LeMat-Bulk. Energies are from GGA-PBE.

a = 9.739 Å, b = 9.739 Å, c = 9.739 Å
α = 109.47°, β = 109.47°, γ = 109.47°
Element x y z (fractional)
Ce1 0.000 0.000 0.000
Dy1 0.000 0.000 0.500
Dy2 0.000 0.500 0.000
Dy3 0.000 0.500 0.500
Dy4 0.500 0.000 0.000
Dy5 0.500 0.000 0.500
Dy6 0.500 0.500 0.000
Dy7 0.500 0.500 0.500
Ho1 0.000 0.256 0.744
Ho2 0.000 0.744 0.256
Ho3 0.256 0.000 0.744
Ho4 0.256 0.256 0.512
Ho5 0.256 0.512 0.256
Ho6 0.256 0.744 0.000
Ho7 0.488 0.744 0.744
Ho8 0.512 0.256 0.256
Ho9 0.744 0.000 0.256
Ho10 0.744 0.256 0.000
Ho11 0.744 0.488 0.744
Ho12 0.744 0.744 0.488

Values from the calculation:
- calculated volume (Å³ per cell) = 710.98
- crystal system = cubic
- offset from the most stable computed form (meV/atom) = 478
- energy of formation (eV per atom) = 0.731

No. 4
Here is crystalline CeDy6Ho12 at its relaxed geometry from Alexandria via LeMat-Bulk. Energies are from GGA-PBE.

a = 8.641 Å, b = 8.641 Å, c = 8.641 Å
α = 99.20°, β = 99.20°, γ = 99.20°
Element x y z (fractional)
Ce1 0.000 0.000 0.000
Dy1 0.103 0.103 0.661
Dy2 0.103 0.661 0.103
Dy3 0.339 0.897 0.897
Dy4 0.661 0.103 0.103
Dy5 0.897 0.339 0.897
Dy6 0.897 0.897 0.339
Ho1 0.079 0.352 0.352
Ho2 0.243 0.500 0.757
Ho3 0.243 0.757 0.500
Ho4 0.352 0.079 0.352
Ho5 0.352 0.352 0.079
Ho6 0.500 0.243 0.757
Ho7 0.500 0.757 0.243
Ho8 0.648 0.648 0.921
Ho9 0.648 0.921 0.648
Ho10 0.757 0.243 0.500
Ho11 0.757 0.500 0.243
Ho12 0.921 0.648 0.648

Values from the calculation:
- calculated volume (Å³ per cell) = 617.12
- crystal system = trigonal
- energy of formation (eV per atom) = 0.216

No. 5
Here is crystalline CeDy4Ho3 at its relaxed geometry from Alexandria via LeMat-Bulk. Energies are from GGA-PBE.

a = 11.264 Å, b = 7.208 Å, c = 6.229 Å
α = 90.00°, β = 90.00°, γ = 90.00°
Element x y z (fractional)
Ce1 0.000 0.124 0.000
Ce2 0.500 0.876 0.500
Dy1 0.000 0.373 0.500
Dy2 0.000 0.626 0.998
Dy3 0.250 0.373 0.837
Dy4 0.250 0.627 0.337
Dy5 0.500 0.374 0.498
Dy6 0.500 0.627 0.000
Dy7 0.750 0.373 0.837
Dy8 0.750 0.627 0.337
Ho1 0.000 0.877 0.502
Ho2 0.250 0.124 0.332
Ho3 0.250 0.876 0.832
Ho4 0.500 0.123 0.002
Ho5 0.750 0.124 0.332
Ho6 0.750 0.876 0.832

Values from the calculation:
- calculated volume (Å³ per cell) = 505.82
- crystal system = orthorhombic
- energy of formation (eV per atom) = 0.037

No. 6
Here is crystalline Ce2Dy3Ho8 at its relaxed geometry from Alexandria via LeMat-Bulk. Energies are from GGA-PBE.

a = 10.862 Å, b = 10.862 Å, c = 5.589 Å
α = 90.00°, β = 90.00°, γ = 140.07°
Element x y z (fractional)
Ce1 0.244 0.756 0.000
Ce2 0.756 0.244 0.000
Dy1 0.000 0.000 0.000
Dy2 0.279 0.279 0.500
Dy3 0.721 0.721 0.500
Ho1 0.137 0.863 0.500
Ho2 0.177 0.394 0.000
Ho3 0.332 0.668 0.500
Ho4 0.394 0.177 0.000
Ho5 0.606 0.823 0.000
Ho6 0.668 0.332 0.500
Ho7 0.823 0.606 0.000
Ho8 0.863 0.137 0.500

Values from the calculation:
- calculated volume (Å³ per cell) = 423.22
- crystal system = orthorhombic
- offset from the most stable computed form (meV/atom) = 99
- energy of formation (eV per atom) = 0.289